This record from Alexandria describes an optimized crystal structure of Tl2IrCl. The functional is PBE.

It has space group Pmm2 (No. 25), with a = 4.771 Å, b = 5.761 Å, c = 3.323 Å, α = 90.00°, β = 90.00° and γ = 90.00°. The asymmetric unit holds Tl at (0.000, 0.000, 0.000), Tl at (0.500, 0.500, 0.498), Ir at (0.500, 0.000, 0.499) and Cl at (0.000, 0.500, 0.997).

The crystal system is orthorhombic. The formation energy without anion corrections comes out at 0.082 eV/atom. Its volume is 22.83 A^3/atom. The value obtained for the total energy is -3.78 eV/atom. As for the density of states at the Fermi level: 0.87 states/eV per atom.


This record from Alexandria describes an optimized crystal structure of Y2ThB6. The functional is PBE.

It has space group P6/mmm (No. 191), with a = 5.7335 Å, b = 5.7335 Å, c = 3.9900 Å, α = 90.00°, β = 90.00° and γ = 120.00°. The asymmetric unit holds Y at (0.3333, 0.6667, 0.0000), Th at (0.0000, 0.0000, 0.0000) and B at (0.0000, 0.3385, 0.5000).

The crystal system is hexagonal. Its volume is 12.62 A^3/atom. The value obtained for the total energy is -7.21 eV/atom. As for the density of states at the Fermi level: 0.45 states/eV per atom. The value obtained for the energy of formation is -0.50 eV/atom.


This record from Alexandria describes an optimized crystal structure of ErHf2Al. The functional is PBE.

It has space group R-3m (No. 166, hexagonal axes), with a = 3.0840 Å, b = 3.0840 Å, c = 33.4590 Å, α = 90.00°, β = 90.00° and γ = 120.00°. The asymmetric unit holds Er at (0.0000, 0.0000, 0.0000), Hf at (0.0000, 0.0000, 0.0945) and Al at (0.0000, 0.0000, 0.5000).

The crystal system is trigonal. Its volume is 22.97 A^3/atom. The value obtained for the total energy is -6.82 eV/atom. As for the density of states at the Fermi level: 1.60 states/eV per atom. The value obtained for the energy of formation is 0.24 eV/atom.


Which formula does entry 2 have? Y2ThB6


Number 1 is which compound? Tl2IrCl